The following is a GGA-PBE calculation of BiS2ICl after structural relaxation, from the Alexandria database.

Formation energy from raw total energies in eV/f.u.: 3.18
SG: P4/mmm (123)
E_tot in eV per atom: -2.471
Distance to the lowest polymorph of the same formula in meV/atom: 333

Lattice parameters (Å, degrees): 5.185 5.185 5.284 90.00 90.00 90.00
Sites, in units of the cell vectors:
Cl1 0.000 0.000 0.500
S1 0.000 0.500 0.000
S2 0.500 0.000 0.000
I1 0.000 0.000 0.000
Bi1 0.500 0.500 0.500